No. 1
Computed, not measured: an optimized crystal structure of KMn2BiPt at the PBE level of DFT.

a b c (Å): 4.975 5.147 4.975
angles (deg): 90.00 90.00 90.00
Last column: magnetic moment on the atom in μB.
Fractional positions:
K1 0.000 0.000 0.000  0.04
Mn1 0.000 0.000 0.500  3.87
Mn2 0.500 0.000 0.000  4.13
Bi1 0.500 0.500 0.500  -0.09
Pt1 0.000 0.500 0.000  0.07

Calculated values
The calculation puts the magnetic moment at 8.55 μB per formula unit. The calculated total energy is -4.164 eV/atom. The calculation puts the formation energy at 1707 meV per atom.


No. 2
Computed, not measured: an optimized crystal structure of KMn2ReBi at the PBE level of DFT.

a b c (Å): 5.257 6.453 5.257
angles (deg): 90.00 90.00 90.00
Last column: magnetic moment on the atom in μB.
Fractional positions:
Re1 0.500 0.500 0.500  3.67
K1 0.000 0.500 0.000  0.01
Mn1 0.000 0.000 0.500  4.09
Mn2 0.500 0.000 0.000  3.92
Bi1 0.000 0.000 0.000  -0.04

Calculated values
The calculation puts the magnetic moment at 12.98 μB per formula unit. The calculated total energy is -5.150 eV/atom. The calculation puts the formation energy at 2003 meV per atom.


No. 3
Computed, not measured: an optimized crystal structure of KMnBiRh2 at the PBE level of DFT.

a b c (Å): 5.064 5.926 5.064
angles (deg): 90.00 90.00 90.00
Last column: magnetic moment on the atom in μB.
Fractional positions:
K1 0.000 0.500 0.000  0.00
Mn1 0.500 0.500 0.500  -4.44
Rh1 0.000 0.000 0.500  -0.04
Rh2 0.500 0.000 0.000  0.00
Bi1 0.000 0.000 0.000  0.00

Calculated values
The calculation puts the magnetic moment at 4.85 μB per formula unit. The calculated total energy is -4.534 eV/atom. The calculation puts the formation energy at 1236 meV per atom.


No. 4
Computed, not measured: an optimized crystal structure of KMnBiS3 at the PBE level of DFT.

a b c (Å): 4.120 9.122 9.430
angles (deg): 103.26 90.00 90.00
Last column: magnetic moment on the atom in μB.
Fractional positions:
K1 0.750 0.819 0.780  0.00
K2 0.250 0.181 0.220  0.00
Mn1 0.250 0.094 0.604  4.21
Mn2 0.750 0.906 0.396  4.21
Bi1 0.250 0.654 0.141  0.02
Bi2 0.750 0.346 0.859  0.02
S1 0.250 0.820 0.492  0.12
S2 0.750 0.867 0.138  0.04
S3 0.750 0.432 0.145  0.01
S4 0.750 0.180 0.508  0.12
S5 0.250 0.568 0.855  0.01
S6 0.250 0.133 0.862  0.04

Calculated values
The formation energy (no corrections) is -0.69 eV/atom. The calculation puts the magnetic moment at 5.00 μB per formula unit. The calculated total energy is -5.115 eV/atom.


No. 5
Computed, not measured: an optimized crystal structure of KMnBi2S4 at the PBE level of DFT.

a b c (Å): 4.117 7.355 14.599
angles (deg): 90.00 90.00 106.25
Last column: magnetic moment on the atom in μB.
Fractional positions:
K1 0.117 0.234 0.750  0.00
K2 0.883 0.766 0.250  0.00
Mn1 0.849 0.698 0.750  3.96
Mn2 0.151 0.302 0.250  3.96
Bi1 0.372 0.744 0.557  -0.13
Bi2 0.628 0.256 0.057  -0.13
Bi3 0.628 0.256 0.443  -0.13
Bi4 0.372 0.744 0.943  -0.13
S1 0.251 0.502 0.116  0.02
S2 0.749 0.498 0.616  0.02
S3 0.749 0.498 0.884  0.02
S4 0.251 0.502 0.384  0.02
S5 0.000 0.000 0.500  0.00
S6 0.000 0.000 0.000  0.00
S7 0.437 0.873 0.750  0.05
S8 0.563 0.127 0.250  0.05

Calculated values
The formation energy (no corrections) is -0.52 eV/atom. The calculation puts the magnetic moment at 4.18 μB per formula unit. The calculated total energy is -4.842 eV/atom.


No. 6
Computed, not measured: an optimized crystal structure of K3MnBi2S6 at the PBE level of DFT.

a b c (Å): 7.014 7.014 7.695
angles (deg): 98.67 98.67 120.70
Last column: magnetic moment on the atom in μB.
Fractional positions:
K1 0.171 0.829 0.500  0.00
K2 0.829 0.171 0.500  0.00
K3 0.500 0.500 0.500  0.00
Mn1 0.000 0.000 0.000  3.70
Bi1 0.330 0.670 0.000  0.03
Bi2 0.670 0.330 0.000  0.03
S1 0.933 0.625 0.798  0.01
S2 0.777 0.777 0.188  -0.03
S3 0.067 0.375 0.202  0.01
S4 0.625 0.933 0.798  0.01
S5 0.223 0.223 0.812  -0.03
S6 0.375 0.067 0.202  0.01

Calculated values
The formation energy (no corrections) is -0.77 eV/atom. The calculation puts the magnetic moment at 4.00 μB per formula unit. The calculated total energy is -4.514 eV/atom.


No. 7
Computed, not measured: an optimized crystal structure of K3MnBi3S8 at the PBE level of DFT.

a b c (Å): 8.007 8.010 8.864
angles (deg): 116.88 90.00 120.00
Last column: magnetic moment on the atom in μB.
Fractional positions:
K1 0.000 0.000 0.000  0.00
K2 0.000 0.500 0.000  0.00
K3 0.500 0.500 0.000  0.00
Mn1 0.000 0.000 0.500  2.95
Bi1 0.500 0.000 0.500  0.02
Bi2 0.500 0.500 0.500  0.02
Bi3 0.000 0.500 0.500  0.02
S1 0.262 0.523 0.285  0.00
S2 0.738 0.477 0.715  0.00
S3 0.796 0.591 0.317  -0.03
S4 0.204 0.409 0.683  -0.03
S5 0.796 0.021 0.317  -0.03
S6 0.204 0.979 0.683  -0.03
S7 0.225 0.021 0.317  -0.02
S8 0.775 0.979 0.683  -0.02

Calculated values
The formation energy (no corrections) is -0.70 eV/atom. The calculation puts the magnetic moment at 2.98 μB per formula unit. The calculated total energy is -4.508 eV/atom.


No. 8
Computed, not measured: an optimized crystal structure of KScMn2Bi at the PBE level of DFT.

a b c (Å): 5.345 5.622 5.345
angles (deg): 90.00 90.00 90.00
Last column: magnetic moment on the atom in μB.
Fractional positions:
Sc1 0.000 0.000 0.000  -0.30
K1 0.500 0.500 0.500  0.01
Mn1 0.000 0.000 0.500  3.91
Mn2 0.500 0.000 0.000  4.18
Bi1 0.000 0.500 0.000  0.14

Calculated values
The calculation puts the magnetic moment at 8.74 μB per formula unit. The calculated total energy is -5.222 eV/atom. The calculation puts the formation energy at 708 meV per atom.


No. 9
Computed, not measured: an optimized crystal structure of KMnBiSe4 at the PBE level of DFT.

a b c (Å): 7.111 6.781 9.016
angles (deg): 90.00 107.10 90.00
Last column: magnetic moment on the atom in μB.
Fractional positions:
K1 0.723 0.750 0.926  0.00
K2 0.277 0.250 0.074  0.00
Mn1 0.198 0.750 0.308  2.88
Mn2 0.802 0.250 0.692  2.88
Bi1 0.745 0.750 0.424  0.08
Bi2 0.255 0.250 0.576  0.08
Se1 0.034 0.502 0.726  -0.07
Se2 0.966 0.002 0.274  -0.07
Se3 0.966 0.498 0.274  -0.07
Se4 0.034 0.998 0.726  -0.07
Se5 0.417 0.750 0.158  -0.01
Se6 0.583 0.250 0.842  -0.01
Se7 0.404 0.750 0.559  -0.05
Se8 0.596 0.250 0.441  -0.05

Calculated values
The formation energy (no corrections) is -0.50 eV/atom. The calculation puts the magnetic moment at 3.00 μB per formula unit. The calculated total energy is -4.515 eV/atom.


No. 10
Computed, not measured: an optimized crystal structure of KMnSiBi2 at the PBE level of DFT.

a b c (Å): 5.708 4.703 5.708
angles (deg): 90.00 90.00 90.00
Last column: magnetic moment on the atom in μB.
Fractional positions:
K1 0.500 0.500 0.500  0.00
Mn1 0.000 0.500 0.000  3.71
Si1 0.000 0.000 0.000  -0.10
Bi1 0.000 0.000 0.500  -0.09
Bi2 0.500 0.000 0.000  -0.08

Calculated values
The formation energy (no corrections) is 0.35 eV/atom. The calculation puts the magnetic moment at 3.67 μB per formula unit. The calculated total energy is -4.343 eV/atom.


No. 11
Computed, not measured: an optimized crystal structure of K2MnBiTe4 at the PBE level of DFT.

a b c (Å): 4.394 8.632 7.642
angles (deg): 73.09 90.00 90.00
Last column: magnetic moment on the atom in μB.
Fractional positions:
K1 0.000 0.000 0.000  0.00
K2 0.500 0.000 0.500  0.00
Mn1 0.000 0.500 0.500  3.87
Bi1 0.500 0.500 0.000  0.04
Te1 0.000 0.699 0.735  -0.04
Te2 0.000 0.301 0.265  -0.04
Te3 0.500 0.691 0.293  -0.05
Te4 0.500 0.309 0.707  -0.05

Calculated values
The formation energy (no corrections) is -0.53 eV/atom. The calculation puts the magnetic moment at 4.00 μB per formula unit. The calculated total energy is -4.002 eV/atom.


No. 12
Computed, not measured: an optimized crystal structure of KMn2VBi at the PBE level of DFT.

a b c (Å): 4.743 5.760 4.743
angles (deg): 90.00 90.00 90.00
Last column: magnetic moment on the atom in μB.
Fractional positions:
K1 0.000 0.000 0.000  0.05
Mn1 0.000 0.000 0.500  3.61
Mn2 0.500 0.000 0.000  4.00
Bi1 0.000 0.500 0.000  -0.11
V1 0.500 0.500 0.500  0.49

Calculated values
The calculation puts the magnetic moment at 8.37 μB per formula unit. The calculated total energy is -4.177 eV/atom. The calculation puts the formation energy at 2310 meV per atom.


No. 13
Computed, not measured: an optimized crystal structure of KBi3Mo at the PBE level of DFT.

a b c (Å): 5.530 5.530 5.530
angles (deg): 90.00 90.00 90.00
Fractional positions:
K1 0.500 0.500 0.500
Mo1 0.000 0.000 0.000
Bi1 0.000 0.500 0.000
Bi2 0.000 0.000 0.500
Bi3 0.500 0.000 0.000

Calculated values
The calculation puts the energy above the lowest structure with this stoichiometry at 0 meV/atom. The calculation puts the magnetic moment at 0.00 μB per formula unit. The calculated total energy is -4.406 eV/atom. The calculation puts the formation energy at 308 meV per atom.


No. 14
Computed, not measured: an optimized crystal structure of K2BiMo at the PBE level of DFT.

a b c (Å): 13.651 13.651 10.022
angles (deg): 47.07 47.07 90.00
Last column: magnetic moment on the atom in μB.
Fractional positions:
K1 0.374 0.125 0.250  0.01
K2 0.376 0.625 0.250  0.01
K3 0.375 0.626 0.750  0.01
K4 0.875 0.624 0.750  0.01
Mo1 0.500 0.500 0.000  2.76
Mo2 0.250 0.750 0.500  2.76
Bi1 0.000 0.000 0.000  -0.18
Bi2 0.750 0.250 0.500  -0.18

Calculated values
The calculation puts the magnetic moment at 3.33 μB per formula unit. The calculated total energy is -3.474 eV/atom. The calculation puts the formation energy at 753 meV per atom.


No. 15
Computed, not measured: an optimized crystal structure of K2BiMo2 at the PBE level of DFT.

a b c (Å): 9.998 9.998 3.162
angles (deg): 90.00 90.00 90.00
Fractional positions:
K1 0.212 0.712 0.500
K2 0.712 0.788 0.500
K3 0.788 0.288 0.500
K4 0.288 0.212 0.500
Mo1 0.427 0.927 0.000
Mo2 0.927 0.573 0.000
Mo3 0.573 0.073 0.000
Mo4 0.073 0.427 0.000
Bi1 0.000 0.000 0.000
Bi2 0.500 0.500 0.000

Calculated values
The calculation puts the energy above the lowest structure with this stoichiometry at 0 meV/atom. The calculation puts the magnetic moment at 0.00 μB per formula unit. The calculated total energy is -4.461 eV/atom. The calculation puts the formation energy at 1087 meV per atom.


No. 16
Computed, not measured: an optimized crystal structure of K2BiMo2 at the PBE level of DFT.

a b c (Å): 4.638 4.638 8.325
angles (deg): 73.83 73.83 90.00
Fractional positions:
K1 0.750 0.250 0.500
K2 0.250 0.750 0.500
Mo1 0.434 0.434 0.131
Mo2 0.566 0.566 0.869
Bi1 0.000 0.000 0.000

Calculated values
The calculation puts the energy above the lowest structure with this stoichiometry at 162 meV/atom. The calculation puts the magnetic moment at 0.00 μB per formula unit. The calculated total energy is -4.299 eV/atom. The calculation puts the formation energy at 1249 meV per atom.


No. 17
Computed, not measured: an optimized crystal structure of KBiMo2N at the PBE level of DFT.

a b c (Å): 4.199 5.295 4.199
angles (deg): 90.00 90.00 90.00
Fractional positions:
K1 0.000 0.500 0.000
Mo1 0.000 0.000 0.500
Mo2 0.500 0.000 0.000
Bi1 0.500 0.500 0.500
N1 0.000 0.000 0.000

Calculated values
The formation energy (no corrections) is 0.56 eV/atom. The calculation puts the magnetic moment at 0.00 μB per formula unit. The calculated total energy is -6.437 eV/atom.